Record 1
Below is K3Ce2PdSe6 after structural relaxation, with properties calculated at the PBE-GGA level.

Results
The energy comes out at -56.7 eV for the cell shown. As for the space group: C2/m (12).

Cell: 7.257 7.257 8.042 Å, 98.66 98.66 119.92°
Last column: magnetic moment on the atom in μB.
Fractional coordinates of all 12 atoms:
K  0.165  0.835  0.500  0.00
K  0.835  0.165  0.500  0.00
K  0.500  0.500  0.500  0.00
Ce  0.333  0.667  0.000  0.25
Ce  0.667  0.333  0.000  0.25
Pd  0.000  0.000  0.000  0.54
Se  0.933  0.607  0.798  0.04
Se  0.741  0.741  0.202  0.04
Se  0.067  0.393  0.202  0.04
Se  0.607  0.933  0.798  0.04
Se  0.259  0.259  0.798  0.04
Se  0.393  0.067  0.202  0.04

Record 2
Below is Pm2HoZr after structural relaxation, with properties calculated at the PBE-GGA level.

Results
The calculation puts the formation energy from the elements at 16.4 kJ per mole of atoms. The energy comes out at -21.9 eV for the cell shown. As for the space group: P4/mmm (123).

Cell: 4.064 4.064 7.288 Å, 90.00 90.00 90.00°
Fractional coordinates of all 4 atoms:
Ho  0.500  0.500  0.000
Zr  0.500  0.500  0.500
Pm  0.000  0.000  0.726
Pm  0.000  0.000  0.274

Record 3
Below is TlGa after structural relaxation, with properties calculated at the PBE-GGA level.

Results
The calculation puts the formation energy from the elements at 7.9 kJ per mole of atoms. The energy comes out at -31.4 eV for the cell shown. As for the space group: P6_3/mmc (194).

Cell: 8.915 8.915 4.628 Å, 90.00 90.00 120.00°
Fractional coordinates of all 12 atoms:
Tl  0.833  0.667  0.250
Tl  0.167  0.833  0.750
Tl  0.333  0.167  0.250
Tl  0.167  0.333  0.750
Tl  0.833  0.167  0.250
Tl  0.667  0.833  0.750
Ga  0.438  0.876  0.250
Ga  0.562  0.438  0.750
Ga  0.124  0.562  0.250
Ga  0.562  0.124  0.750
Ga  0.438  0.562  0.250
Ga  0.876  0.438  0.750

Record 4
Below is Re3AsH after structural relaxation, with properties calculated at the PBE-GGA level.

Results
The energy comes out at -41.8 eV for the cell shown. As for the space group: Pm-3m (221).

Cell: 3.976 3.976 3.976 Å, 90.00 90.00 90.00°
Fractional coordinates of all 5 atoms:
Re  0.000  0.500  0.000
Re  0.000  0.000  0.500
Re  0.500  0.000  0.000
As  0.500  0.500  0.500
H  0.000  0.000  0.000

Record 5
Below is BaTiSeS2 after structural relaxation, with properties calculated at the PBE-GGA level.

Results
The energy comes out at -29.2 eV for the cell shown. As for the space group: P4/mmm (123).

Cell: 4.822 4.822 5.127 Å, 90.00 90.00 90.00°
Fractional coordinates of all 5 atoms:
S  0.000  0.500  0.000
S  0.500  0.000  0.000
Ba  0.500  0.500  0.500
Se  0.000  0.000  0.500
Ti  0.000  0.000  0.000